Entry a
Entry from Alexandria: an optimized crystal structure of Tc2MoAu (GGA-PBE). Values from VASP.

```
&SYSTEM
  ibrav = 0, nat = 4, ntyp = 3
/
ATOMIC_SPECIES
Tc 98.00 Tc.upf
Mo 95.94 Mo.upf
Au 196.97 Au.upf
CELL_PARAMETERS angstrom
1.596 -2.203 0.000
1.596 2.203 0.000
0.000 0.000 9.034
ATOMIC_POSITIONS angstrom
Tc 0.000 0.000 2.115
Tc 0.000 0.000 6.919
Mo 1.596 0.000 0.000
Au 1.596 0.000 4.517
```

* total magnetic moment: 0.00 μB/cell

Entry b
Entry from Alexandria: an optimized crystal structure of Tc2MoAu (GGA-PBE). Values from VASP.

```
&SYSTEM
  ibrav = 0, nat = 4, ntyp = 3
/
ATOMIC_SPECIES
Tc 98.00 Tc.upf
Mo 95.94 Mo.upf
Au 196.97 Au.upf
CELL_PARAMETERS angstrom
3.334 0.000 0.000
0.000 3.334 0.000
0.000 0.000 5.777
ATOMIC_POSITIONS angstrom
Tc 0.000 0.000 0.000
Tc 1.667 1.667 1.196
Mo 1.667 1.667 4.475
Au 0.000 0.000 2.842
```

* total magnetic moment: 0.00 μB/cell

Which is most stable? The ranking, best first, is entry a, entry b.

Entry a
Entry from Alexandria: an optimized crystal structure of Tc2MoAu (GGA-PBE). Values from VASP.

```
&SYSTEM
  ibrav = 0, nat = 8, ntyp = 3
/
ATOMIC_SPECIES
Tc 98.00 Tc.upf
Mo 95.94 Mo.upf
Au 196.97 Au.upf
CELL_PARAMETERS angstrom
-1.946 1.946 9.176
1.946 -1.946 9.176
1.946 1.946 -9.176
ATOMIC_POSITIONS angstrom
Tc 2.918 0.763 -2.294
Tc 0.763 0.973 2.294
Tc -0.973 1.183 6.882
Tc 1.183 0.973 11.470
Mo 0.000 0.000 0.000
Mo 0.000 1.946 4.588
Au 1.946 0.000 4.588
Au 0.000 0.000 9.176
```

* total magnetic moment: 0.00 μB/cell

Entry b
Entry from Alexandria: an optimized crystal structure of Tc2MoAu (GGA-PBE). Values from VASP.

```
&SYSTEM
  ibrav = 0, nat = 4, ntyp = 3
/
ATOMIC_SPECIES
Tc 98.00 Tc.upf
Mo 95.94 Mo.upf
Au 196.97 Au.upf
CELL_PARAMETERS angstrom
-1.994 1.994 3.898
1.994 -1.994 3.898
1.994 1.994 -3.898
ATOMIC_POSITIONS angstrom
Tc 1.994 0.000 1.949
Tc 0.000 1.994 1.949
Mo 0.000 0.000 0.000
Au 0.000 0.000 3.898
```

* total magnetic moment: 0.00 μB/cell

Entry c
Entry from Alexandria: an optimized crystal structure of Tc2MoAu (GGA-PBE). Values from VASP.

```
&SYSTEM
  ibrav = 0, nat = 4, ntyp = 3
/
ATOMIC_SPECIES
Tc 98.00 Tc.upf
Mo 95.94 Mo.upf
Au 196.97 Au.upf
CELL_PARAMETERS angstrom
3.980 0.000 0.000
0.000 3.980 0.000
0.000 0.000 3.888
ATOMIC_POSITIONS angstrom
Tc 0.000 1.990 0.000
Tc 1.990 0.000 0.000
Mo 0.000 0.000 1.944
Au 1.990 1.990 1.944
```

* total magnetic moment: 0.00 μB/cell

Which is most stable? The ranking, best first, is entry c, entry b, entry a.

Entry a
Entry from Alexandria: an optimized crystal structure of TiMo2Au2 (GGA-PBE). Values from VASP.

```
&SYSTEM
  ibrav = 0, nat = 10, ntyp = 3
/
ATOMIC_SPECIES
Ti 47.87 Ti.upf
Mo 95.94 Mo.upf
Au 196.97 Au.upf
CELL_PARAMETERS angstrom
7.960 0.000 0.000
0.000 7.960 0.000
0.000 0.000 2.818
ATOMIC_POSITIONS angstrom
Ti 0.000 0.000 0.000
Ti 3.980 3.980 0.000
Mo 0.878 3.102 0.000
Mo 3.102 7.082 0.000
Mo 4.858 0.878 0.000
Mo 7.082 4.858 0.000
Au 1.468 5.448 1.409
Au 2.512 1.468 1.409
Au 5.448 6.492 1.409
Au 6.492 2.512 1.409
```

* total magnetic moment: 0.00 μB/cell

Entry b
Entry from Alexandria: an optimized crystal structure of TiMo2Au2 (GGA-PBE). Values from VASP.

```
&SYSTEM
  ibrav = 0, nat = 5, ntyp = 3
/
ATOMIC_SPECIES
Ti 47.87 Ti.upf
Mo 95.94 Mo.upf
Au 196.97 Au.upf
CELL_PARAMETERS angstrom
-1.917 1.917 6.370
1.917 -1.917 6.370
1.917 1.917 -6.370
ATOMIC_POSITIONS angstrom
Ti 0.000 0.000 0.000
Mo 0.000 0.000 5.251
Mo 0.000 0.000 7.489
Au 1.917 0.000 3.185
Au 0.000 1.917 3.185
```

* total magnetic moment: 0.00 μB/cell

Which is most stable? The ranking, best first, is entry a, entry b.